Record 1
A relaxed structure of La2Ce3TmSe6, computed with PBE-GGA.

a = 9.4281 Å, b = 9.4281 Å, c = 8.4810 Å
α = 103.18°, β = 103.18°, γ = 25.69°
Positions (direct):
1 La 0.1658 0.1658 0.3331
2 La 0.8342 0.8342 0.6669
3 Ce 0.1699 0.1699 0.8350
4 Ce 0.5000 0.5000 0.5000
5 Ce 0.8301 0.8301 0.1650
6 Tm 0.5000 0.5000 0.0000
7 Se 0.0034 0.0034 0.7645
8 Se 0.3345 0.3345 0.4125
9 Se 0.3394 0.3394 0.9244
10 Se 0.6606 0.6606 0.0756
11 Se 0.6655 0.6655 0.5875
12 Se 0.9966 0.9966 0.2355

Computed properties:
SG: C2/m (12)
DOS(E_F): 1.652 states/eV per atom
raw formation energy: -1847 meV per atom



Record 2
A relaxed structure of La3Ce3TmSe8, computed with PBE-GGA.

a = 8.5281 Å, b = 8.5281 Å, c = 8.5281 Å
α = 59.37°, β = 59.37°, γ = 59.37°
Positions (direct):
1 La 0.0000 0.5000 0.5000
2 La 0.5000 0.0000 0.5000
3 La 0.5000 0.5000 0.0000
4 Ce 0.0000 0.0000 0.5000
5 Ce 0.0000 0.5000 0.0000
6 Ce 0.5000 0.0000 0.0000
7 Tm 0.5000 0.5000 0.5000
8 Se 0.2480 0.2480 0.2480
9 Se 0.2551 0.7410 0.7410
10 Se 0.2590 0.2590 0.7449
11 Se 0.2590 0.7449 0.2590
12 Se 0.7410 0.2551 0.7410
13 Se 0.7410 0.7410 0.2551
14 Se 0.7449 0.2590 0.2590
15 Se 0.7520 0.7520 0.7520

Computed properties:
SG: R-3m (166)
DOS(E_F): 1.498 states/eV per atom
raw formation energy: -1906 meV per atom



Record 3
A relaxed structure of LaCeYSe3, computed with PBE-GGA.

a = 8.1570 Å, b = 4.1300 Å, c = 10.5087 Å
α = 90.00°, β = 103.62°, γ = 90.00°
Positions (direct):
1 La 0.1852 0.2500 0.2037
2 La 0.8148 0.7500 0.7963
3 Ce 0.1731 0.2500 0.6178
4 Ce 0.8269 0.7500 0.3822
5 Y 0.3378 0.7500 0.9028
6 Y 0.6622 0.2500 0.0972
7 Se 0.0951 0.2500 0.8910
8 Se 0.2084 0.7500 0.4275
9 Se 0.4684 0.7500 0.1843
10 Se 0.5316 0.2500 0.8157
11 Se 0.7916 0.2500 0.5725
12 Se 0.9049 0.7500 0.1090

Computed properties:
SG: P2_1/m (11)
DOS(E_F): 1.307 states/eV per atom
raw formation energy: -1668 meV per atom



Record 4
A relaxed structure of La3CeY3Se8, computed with PBE-GGA.

a = 8.4348 Å, b = 8.4348 Å, c = 8.4348 Å
α = 59.21°, β = 59.21°, γ = 59.21°
Positions (direct):
1 La 0.0000 0.5000 0.5000
2 La 0.5000 0.0000 0.5000
3 La 0.5000 0.5000 0.0000
4 Ce 0.5000 0.5000 0.5000
5 Y 0.0000 0.0000 0.5000
6 Y 0.0000 0.5000 0.0000
7 Y 0.5000 0.0000 0.0000
8 Se 0.2349 0.7533 0.7533
9 Se 0.2445 0.2445 0.2445
10 Se 0.2467 0.2467 0.7651
11 Se 0.2467 0.7651 0.2467
12 Se 0.7533 0.2349 0.7533
13 Se 0.7533 0.7533 0.2349
14 Se 0.7555 0.7555 0.7555
15 Se 0.7651 0.2467 0.2467

Computed properties:
SG: R-3m (166)
DOS(E_F): 0.917 states/eV per atom
raw formation energy: -1901 meV per atom